# 1
Entry from the Alexandria database: InRhO2F at its PBEsol-relaxed geometry (SCAN).

```
data_InRhO2F
_space_group_name_H-M_alt 'P 1'
_space_group_IT_number 1
_cell_length_a 4.063
_cell_length_b 4.135
_cell_length_c 4.135
_cell_angle_alpha 90.00
_cell_angle_beta 90.00
_cell_angle_gamma 90.00
loop_
_space_group_symop_operation_xyz
'x,y,z'
loop_
_atom_site_label
_atom_site_type_symbol
_atom_site_fract_x
_atom_site_fract_y
_atom_site_fract_z
_atom_site_occupancy
Rh1 Rh 0.500 0.500 0.500 1
O1 O 0.000 0.000 0.500 1
F1 F 0.500 0.000 0.000 1
O2 O 0.000 0.500 0.000 1
In1 In 0.000 0.000 0.000 1
```

Computed properties:
Formation energy without anion corrections: -0.658 eV/atom
Spin magnetization: 3.0 Bohr magnetons per cell
ρ: 6.42 g/cm³



# 2
Entry from the Alexandria database: InSO2F at its PBEsol-relaxed geometry (SCAN).

```
data_InSO2F
_space_group_name_H-M_alt 'P 1'
_space_group_IT_number 1
_cell_length_a 3.569
_cell_length_b 3.569
_cell_length_c 5.436
_cell_angle_alpha 90.00
_cell_angle_beta 90.00
_cell_angle_gamma 90.00
loop_
_space_group_symop_operation_xyz
'x,y,z'
loop_
_atom_site_label
_atom_site_type_symbol
_atom_site_fract_x
_atom_site_fract_y
_atom_site_fract_z
_atom_site_occupancy
S1 S 0.000 0.000 0.000 1
O1 O 0.000 0.500 0.000 1
O2 O 0.500 0.000 0.000 1
F1 F 0.000 0.000 0.500 1
In1 In 0.500 0.500 0.500 1
```

Computed properties:
Formation energy without anion corrections: -0.533 eV/atom
Spin magnetization: 0.0 Bohr magnetons per cell
ρ: 4.75 g/cm³



> Among the records above, which one has the highest ρ?

InRhO2F